VASP calculation (PBEsol) on LiZr2Fe after structural relaxation.

Summary:
* total magnetic moment: 0.02 μB per cell
* E: -7.21 eV per atom
* N(E_F): 4.39 states/eV/f.u.
* symmetry: P4/mmm (123)
* ΔH_f (0 K): 0.07 eV/atom
* theoretical density: 5.46 g cm⁻³

abc: 2.9683 2.9683 8.4616
angles: 90.00 90.00 90.00
Atoms (fractional coordinates):
Li1 0.0000 0.0000 0.0000
Zr1 0.5000 0.5000 0.3072
Zr2 0.5000 0.5000 0.6928
Fe1 0.0000 0.0000 0.5000